[1]
! Li2AcCdF8 | Alexandria via LeMat-Bulk | PBE | optimized geometry; values from VASP
! DOS at the Fermi energy in states/eV/cell: 6.764
! Space group: P-3 (147)
! Uncorrected formation energy in eV/atom: -2.780
! ρ in Mg/m³: 5.04
&SYSTEM
  ibrav = 0, nat = 12, ntyp = 4
/
ATOMIC_SPECIES
Li 6.94 Li.upf
F 19.00 F.upf
Cd 112.41 Cd.upf
Ac 227.00 Ac.upf
CELL_PARAMETERS angstrom
5.073 0.000 0.000
-2.537 4.394 0.000
0.000 0.000 7.465
ATOMIC_POSITIONS crystal
Li 0.333 0.667 0.738
F 0.297 0.305 0.290
F 0.008 0.703 0.290
Li 0.667 0.333 0.262
F 0.695 0.992 0.290
F 0.992 0.297 0.710
F 0.703 0.695 0.710
F 0.667 0.333 0.012
F 0.305 0.008 0.710
Cd 0.000 0.000 0.500
Ac 0.000 0.000 0.000
F 0.333 0.667 0.988



[2]
! NaAcCdF6 | Alexandria via LeMat-Bulk | PBE | optimized geometry; values from VASP
! DOS at the Fermi energy in states/eV/cell: 0.000
! Space group: P-31c (163)
! Uncorrected formation energy in eV/atom: -3.106
! ρ in Mg/m³: 5.14
&SYSTEM
  ibrav = 0, nat = 18, ntyp = 4
/
ATOMIC_SPECIES
F 19.00 F.upf
Cd 112.41 Cd.upf
Ac 227.00 Ac.upf
Na 22.99 Na.upf
CELL_PARAMETERS angstrom
6.289 0.000 0.000
-3.145 5.447 0.000
0.000 0.000 8.993
ATOMIC_POSITIONS crystal
F 0.020 0.351 0.625
Cd 0.333 0.667 0.750
F 0.331 0.351 0.875
F 0.649 0.980 0.875
F 0.020 0.669 0.875
F 0.351 0.331 0.375
F 0.331 0.980 0.625
Ac 0.333 0.667 0.250
Cd 0.667 0.333 0.250
F 0.980 0.331 0.125
Ac 0.667 0.333 0.750
F 0.980 0.649 0.375
F 0.669 0.020 0.375
F 0.669 0.649 0.125
F 0.649 0.669 0.625
Na 0.000 0.000 0.500
F 0.351 0.020 0.125
Na 0.000 0.000 0.000



[3]
! Na2AcCdF8 | Alexandria via LeMat-Bulk | PBE | optimized geometry; values from VASP
! DOS at the Fermi energy in states/eV/cell: 11.262
! Space group: Pmmm (47)
! Uncorrected formation energy in eV/atom: -2.829
! ρ in Mg/m³: 4.90
&SYSTEM
  ibrav = 0, nat = 12, ntyp = 4
/
ATOMIC_SPECIES
F 19.00 F.upf
Cd 112.41 Cd.upf
Ac 227.00 Ac.upf
Na 22.99 Na.upf
CELL_PARAMETERS angstrom
-1.761 0.967 3.603
4.348 -2.156 2.702
3.605 7.090 -0.140
ATOMIC_POSITIONS crystal
F 0.000 0.755 0.234
F 0.000 0.755 0.766
F 0.000 0.245 0.766
F 0.500 0.251 0.500
Cd 0.000 0.000 0.000
F 0.500 0.774 0.000
Ac 0.000 0.000 0.500
F 0.500 0.749 0.500
Na 0.500 0.500 0.765
F 0.500 0.226 0.000
Na 0.500 0.500 0.235
F 0.000 0.245 0.234



[4]
! RbAcCdF6 | Alexandria via LeMat-Bulk | PBE | optimized geometry; values from VASP
! DOS at the Fermi energy in states/eV/cell: 0.000
! Space group: Imma (74)
! Uncorrected formation energy in eV/atom: -3.166
! ρ in Mg/m³: 4.92
&SYSTEM
  ibrav = 0, nat = 18, ntyp = 4
/
ATOMIC_SPECIES
F 19.00 F.upf
Rb 85.47 Rb.upf
Ac 227.00 Ac.upf
Cd 112.41 Cd.upf
CELL_PARAMETERS angstrom
8.288 0.000 0.000
0.000 7.786 0.000
-4.144 -3.893 5.641
ATOMIC_POSITIONS crystal
F 0.438 0.158 0.270
F 0.562 0.842 0.730
F 0.392 0.142 0.783
F 0.562 0.388 0.730
F 0.168 0.388 0.730
F 0.438 0.612 0.270
Rb 0.161 0.411 0.322
F 0.868 0.118 0.736
Ac 0.500 0.000 0.500
Ac 0.000 0.000 0.500
F 0.168 0.842 0.730
Cd 0.500 0.000 0.000
Cd 0.500 0.500 0.000
F 0.832 0.158 0.270
F 0.608 0.858 0.217
F 0.132 0.882 0.264
F 0.832 0.612 0.270
Rb 0.839 0.589 0.678